[1]
Compound: CdPPbO2
Source: Alexandria via LeMat-Bulk
Functional: PBE
Structure: optimized geometry

Cell lengths 4.1732, 4.1732, 5.6533 Å; angles 90.00, 90.00, 90.00 degrees
Element x y z (fractional)
Cd 0.0000 0.0000 0.0000
P 0.5000 0.5000 0.0000
Pb 0.5000 0.5000 0.5000
O 0.0000 0.5000 0.5000
O 0.5000 0.0000 0.5000

Output
As for the density of states at the Fermi level: 4.30 states/eV/cell. The formation energy without anion corrections comes out at 101 meV per atom. The polymorph energy (0 for the lowest one) is 197 meV per atom. The crystal system is tetragonal.



[2]
Compound: CaTl2Fe
Source: Alexandria via LeMat-Bulk
Functional: PBE
Structure: optimized geometry

Cell lengths 5.3020, 5.3020, 5.3020 Å; angles 126.42, 126.42, 79.19 degrees
Element x y z (fractional)
Ca 0.0000 0.0000 0.0000
Tl 0.2500 0.7500 0.5000
Tl 0.7500 0.2500 0.5000
Fe 0.5000 0.5000 0.0000

Output
Its raw total energy is -0.2632 Ry/atom. As for the density of states at the Fermi level: 4.87 states/eV/cell. The crystal system is tetragonal.



[3]
Compound: Ba2InHg2
Source: Alexandria via LeMat-Bulk
Functional: PBE
Structure: optimized geometry

Cell lengths 6.5145, 6.5145, 6.5145 Å; angles 118.52, 118.52, 92.58 degrees
Element x y z (fractional)
Ba 0.2500 0.7500 0.5000
Ba 0.7500 0.2500 0.5000
In 0.0000 0.0000 0.0000
Hg 0.3432 0.3432 0.0000
Hg 0.6568 0.6568 0.0000

Output
As for the density of states at the Fermi level: 3.54 states/eV/cell. The polymorph energy (0 for the lowest one) is 152 meV per atom. The crystal system is tetragonal.